First-principles (GGA-PBE) data for crystalline ReGeMo2 at its relaxed geometry, as listed in the Open Quantum Materials Database.

## Properties
Mass density, g cm⁻³: 12.29
Volume, Å³/atom: 15.2
Symmetry: F-43m (216)
VASP energy, eV/atom: -9.505

Cell: 4.4160 4.4160 4.4160 Å, 60.00 60.00 60.00°
Last column: nearest neighbours and their distance in Å.
Positions (direct):
Ge 0.5000 0.5000 0.5000  4 Mo 2.70, 4 Re 2.70
Mo 0.0000 0.0000 0.0000  4 Mo 2.70, 4 Re 2.70
Mo 0.7500 0.7500 0.7500  4 Ge 2.70, 4 Mo 2.70
Re 0.2500 0.2500 0.2500  4 Ge 2.70, 4 Mo 2.70

---

First-principles (GGA-PBE) data for crystalline ReGe2Mo at its relaxed geometry, as listed in the Open Quantum Materials Database.

## Properties
Mass density, g cm⁻³: 11.34
Volume, Å³/atom: 15.7
Symmetry: F-43m (216)
VASP energy, eV/atom: -7.818

Cell: 4.4571 4.4571 4.4571 Å, 60.00 60.00 60.00°
Last column: nearest neighbours and their distance in Å.
Positions (direct):
Ge 0.2500 0.2500 0.2500  4 Ge 2.73, 4 Re 2.73
Ge 0.5000 0.5000 0.5000  4 Ge 2.73, 4 Mo 2.73
Mo 0.7500 0.7500 0.7500  4 Ge 2.73, 4 Re 2.73
Re 0.0000 0.0000 0.0000  4 Ge 2.73, 4 Mo 2.73

---

First-principles (GGA-PBE) data for crystalline GeSbMo at its relaxed geometry, as listed in the Open Quantum Materials Database.

## Properties
Mass density, g cm⁻³: 7.39
Volume, Å³/atom: 21.8
Symmetry: F-43m (216)
VASP energy, eV/atom: -6.060

Cell: 4.5196 4.5196 4.5196 Å, 60.00 60.00 60.00°
Last column: nearest neighbours and their distance in Å.
Positions (direct):
Ge 0.2500 0.2500 0.2500  4 Mo 2.77
Mo 0.0000 0.0000 0.0000  4 Sb 2.77, 4 Ge 2.77
Sb 0.7500 0.7500 0.7500  4 Mo 2.77